CoSb2Pt: optimized geometry, PBE.

Calculated values
raw total energy: -21.53 eV/cell
space group: Imm2 (44)
V: 76 Å³/cell
ΔE_f (raw): -0.034 eV per atom

Lattice parameters (Å, degrees): 6.692 6.692 6.692 153.50 145.31 44.18
Fractional positions:
Co 0.518 0.518 0.000
Pt 0.317 0.817 0.500
Sb 0.969 0.969 0.000
Sb 0.696 0.196 0.500